No. 1
PmGa4NiIr2 after structural relaxation. Source: Alexandria via LeMat-Bulk, functional PBE-GGA.

final energy = -5.58 eV/atom
space group = No. 166
energy relative to the elements = -538 meV per atom

a b c (Å): 8.972 8.972 8.972
angles (deg): 27.39 27.39 27.39
Element x y z (fractional)
Pm  0.000  0.000  0.000
Ga  0.132  0.132  0.132
Ga  0.402  0.402  0.402
Ga  0.598  0.598  0.598
Ga  0.868  0.868  0.868
Ni  0.500  0.500  0.500
Ir  0.232  0.232  0.232
Ir  0.768  0.768  0.768

=====

No. 2
Er8Mg2Ru after structural relaxation. Source: Alexandria via LeMat-Bulk, functional PBE-GGA.

final energy = -4.54 eV/atom
space group = No. 12
energy relative to the elements = -88 meV per atom

a b c (Å): 9.060 9.060 6.960
angles (deg): 110.52 110.52 34.99
Element x y z (fractional)
Er  0.014  0.014  0.277
Er  0.191  0.191  0.747
Er  0.358  0.358  0.578
Er  0.397  0.397  0.098
Er  0.603  0.603  0.902
Er  0.642  0.642  0.422
Er  0.809  0.809  0.253
Er  0.986  0.986  0.723
Mg  0.185  0.185  0.193
Mg  0.815  0.815  0.807
Ru  0.500  0.500  0.500

=====

No. 3
PmTmNbO6 after structural relaxation. Source: Alexandria via LeMat-Bulk, functional PBE-GGA.

formation energy from raw total energies = -2.8690 eV/atom
final energy = -8.32 eV/atom
space group = No. 102

a b c (Å): 5.092 5.092 10.188
angles (deg): 90.00 90.00 90.00
Element x y z (fractional)
Pm  0.000  0.000  0.000
Pm  0.500  0.500  0.500
Tm  0.000  0.000  0.338
Tm  0.500  0.500  0.838
Nb  0.000  0.000  0.666
Nb  0.500  0.500  0.166
O  0.181  0.181  0.516
O  0.192  0.192  0.812
O  0.218  0.218  0.178
O  0.282  0.718  0.678
O  0.308  0.692  0.312
O  0.319  0.681  0.016
O  0.681  0.319  0.016
O  0.692  0.308  0.312
O  0.718  0.282  0.678
O  0.782  0.782  0.178
O  0.808  0.808  0.812
O  0.819  0.819  0.516

=====

No. 4
SrNiSe2 after structural relaxation. Source: Alexandria via LeMat-Bulk, functional PBE-GGA.

relative energy among the computed polymorphs = 146 meV per atom
formation energy from raw total energies = -0.8564 eV/atom
final energy = -4.46 eV/atom
space group = No. 166

a b c (Å): 4.055 4.055 19.258
angles (deg): 90.00 90.00 120.00
Element x y z (fractional)
Sr  0.000  0.000  0.000
Sr  0.333  0.667  0.667
Sr  0.667  0.333  0.333
Ni  0.000  0.000  0.500
Ni  0.333  0.667  0.167
Ni  0.667  0.333  0.833
Se  0.000  0.000  0.231
Se  0.000  0.000  0.769
Se  0.333  0.667  0.436
Se  0.333  0.667  0.898
Se  0.667  0.333  0.102
Se  0.667  0.333  0.564

=====

No. 5
Ac3InGe after structural relaxation. Source: Alexandria via LeMat-Bulk, functional PBE-GGA.

relative energy among the computed polymorphs = 0 meV per atom
final energy = -4.39 eV/atom
space group = No. 69
energy relative to the elements = -456 meV per atom

a b c (Å): 10.243 9.602 6.411
angles (deg): 76.67 65.81 37.52
Element x y z (fractional)
Ac  0.193  0.193  0.807
Ac  0.208  0.587  0.413
Ac  0.413  0.792  0.208
Ac  0.587  0.208  0.792
Ac  0.792  0.413  0.587
Ac  0.807  0.807  0.193
In  0.194  0.806  0.806
In  0.806  0.194  0.194
Ge  0.250  0.250  0.250
Ge  0.750  0.750  0.750

=====

No. 6
RbZrHgTe2 after structural relaxation. Source: Alexandria via LeMat-Bulk, functional PBE-GGA.

formation energy from raw total energies = -0.6176 eV/atom
final energy = -3.84 eV/atom
space group = No. 123

a b c (Å): 5.694 5.694 5.750
angles (deg): 90.00 90.00 90.00
Element x y z (fractional)
Rb  0.000  0.000  0.000
Zr  0.500  0.500  0.500
Hg  0.500  0.500  0.000
Te  0.000  0.500  0.500
Te  0.500  0.000  0.500